{"formula": "BaScBr2", "functional": "GGA-PBE", "state": "relaxed", "cell": [[3.576, 0.000, 0.000], [0.000, 3.576, 0.000], [0.000, 0.000, 8.430]], "species": ["Ba", "Sc", "Br", "Br"], "frac_coords": [[0.000, 0.000, 0.000], [0.000, 0.000, 0.500], [0.500, 0.500, 0.305], [0.500, 0.500, 0.695]], "e_form_raw_ev_per_atom": -0.865, "total_magnetization_mub_per_fu": 0.41, "polymorph_energy_mev_per_atom": 236, "dos_at_fermi_per_ev_cell": 2.76, "energy_ev_per_cell": -15.06}



{"formula": "BaScBr2", "functional": "GGA-PBE", "state": "relaxed", "cell": [[3.950, 0.000, 0.000], [0.000, 4.490, 0.000], [0.000, 0.000, 6.928]], "species": ["Ba", "Sc", "Br", "Br"], "frac_coords": [[0.000, 0.000, 0.000], [0.500, 0.000, 0.500], [0.500, 0.500, 0.249], [0.500, 0.500, 0.751]], "e_form_raw_ev_per_atom": -1.072, "total_magnetization_mub_per_fu": 0.21, "polymorph_energy_mev_per_atom": 29, "dos_at_fermi_per_ev_cell": 3.00, "energy_ev_per_cell": -15.89}



{"formula": "BaScBr2", "functional": "GGA-PBE", "state": "relaxed", "cell": [[2.071, 1.196, 7.782], [-2.071, 1.196, 7.782], [0.000, -2.392, 7.782]], "species": ["Ba", "Sc", "Br", "Br"], "frac_coords": [[0.000, 0.000, 0.000], [0.500, 0.500, 0.500], [0.231, 0.231, 0.231], [0.769, 0.769, 0.769]], "e_form_raw_ev_per_atom": -1.024, "total_magnetization_mub_per_fu": 0.00, "polymorph_energy_mev_per_atom": 78, "dos_at_fermi_per_ev_cell": 2.78, "energy_ev_per_cell": -15.69}



{"formula": "BaScBr", "functional": "GGA-PBE", "state": "relaxed", "cell": [[3.858, 0.000, 0.000], [-1.929, 3.341, 0.000], [0.000, 0.000, 7.656]], "species": ["Ba", "Sc", "Br"], "frac_coords": [[0.000, 0.000, 0.000], [0.667, 0.333, 0.614], [0.333, 0.667, 0.363]], "e_form_raw_ev_per_atom": -0.566, "total_magnetization_mub_per_fu": 1.39, "polymorph_energy_mev_per_atom": 0, "dos_at_fermi_per_ev_cell": 2.30, "energy_ev_per_cell": -11.63}



{"formula": "BaScBr4", "functional": "GGA-PBE", "state": "relaxed", "cell": [[0.000, 4.616, 4.616], [4.616, 0.000, 4.616], [4.616, 4.616, 0.000]], "species": ["Ba", "Sc", "Br", "Br", "Br", "Br"], "frac_coords": [[0.000, 0.000, 0.000], [0.250, 0.250, 0.250], [0.127, 0.624, 0.624], [0.624, 0.127, 0.624], [0.624, 0.624, 0.127], [0.624, 0.624, 0.624]], "e_form_raw_ev_per_atom": -0.340, "total_magnetization_mub_per_fu": 1.09, "dos_at_fermi_per_ev_cell": 13.09, "energy_ev_per_cell": -16.99}



{"formula": "BaScBr2", "functional": "GGA-PBE", "state": "relaxed", "cell": [[1.882, -3.616, 0.000], [1.882, 3.616, 0.000], [0.000, 0.000, 9.692]], "species": ["Ba", "Sc", "Br", "Br"], "frac_coords": [[0.000, 0.000, 0.000], [0.000, 0.000, 0.500], [0.500, 0.500, 0.288], [0.500, 0.500, 0.712]], "e_form_raw_ev_per_atom": -0.953, "total_magnetization_mub_per_fu": 0.84, "polymorph_energy_mev_per_atom": 149, "dos_at_fermi_per_ev_cell": 3.27, "energy_ev_per_cell": -15.41}



{"formula": "BaScBr2", "functional": "GGA-PBE", "state": "relaxed", "cell": [[0.000, 4.085, 4.085], [4.085, 0.000, 4.085], [4.085, 4.085, 0.000]], "species": ["Ba", "Sc", "Br", "Br"], "frac_coords": [[0.000, 0.000, 0.000], [0.750, 0.750, 0.750], [0.250, 0.250, 0.250], [0.500, 0.500, 0.500]], "e_form_raw_ev_per_atom": -0.411, "total_magnetization_mub_per_fu": 2.87, "polymorph_energy_mev_per_atom": 690, "dos_at_fermi_per_ev_cell": 8.97, "energy_ev_per_cell": -13.24}



{"formula": "BaScBr2", "functional": "GGA-PBE", "state": "relaxed", "cell": [[0.000, 3.946, 3.946], [3.946, 0.000, 3.946], [3.946, 3.946, 0.000]], "species": ["Ba", "Sc", "Br", "Br"], "frac_coords": [[0.000, 0.000, 0.000], [0.500, 0.500, 0.500], [0.250, 0.250, 0.250], [0.750, 0.750, 0.750]], "e_form_raw_ev_per_atom": -0.846, "total_magnetization_mub_per_fu": 2.39, "polymorph_energy_mev_per_atom": 255, "dos_at_fermi_per_ev_cell": 4.21, "energy_ev_per_cell": -14.98}



{"formula": "Ba4ScBr", "functional": "GGA-PBE", "state": "relaxed", "cell": [[0.000, 5.365, 5.365], [5.365, 0.000, 5.365], [5.365, 5.365, 0.000]], "species": ["Ba", "Ba", "Ba", "Ba", "Sc", "Br"], "frac_coords": [[0.376, 0.376, 0.376], [0.376, 0.376, 0.872], [0.376, 0.872, 0.376], [0.872, 0.376, 0.376], [0.750, 0.750, 0.750], [0.000, 0.000, 0.000]], "e_form_raw_ev_per_atom": 0.307, "total_magnetization_mub_per_fu": 3.64, "dos_at_fermi_per_ev_cell": 12.04, "energy_ev_per_cell": -13.85}



{"formula": "BaScBr2", "functional": "GGA-PBE", "state": "relaxed", "cell": [[1.989, 1.148, 10.080], [-1.989, 1.148, 10.080], [0.000, -2.296, 10.080]], "species": ["Ba", "Sc", "Br", "Br"], "frac_coords": [[0.000, 0.000, 0.000], [0.500, 0.500, 0.500], [0.113, 0.113, 0.113], [0.887, 0.887, 0.887]], "e_form_raw_ev_per_atom": -0.993, "total_magnetization_mub_per_fu": 0.00, "polymorph_energy_mev_per_atom": 108, "dos_at_fermi_per_ev_cell": 5.22, "energy_ev_per_cell": -15.57}



{"formula": "BaScBr", "functional": "GGA-PBE", "state": "relaxed", "cell": [[4.839, 0.000, 0.000], [-2.420, 4.191, 0.000], [0.000, 0.000, 5.321]], "species": ["Ba", "Sc", "Br"], "frac_coords": [[0.000, 0.000, 0.000], [0.333, 0.667, 0.500], [0.667, 0.333, 0.499]], "e_form_raw_ev_per_atom": -0.319, "total_magnetization_mub_per_fu": 0.29, "polymorph_energy_mev_per_atom": 248, "dos_at_fermi_per_ev_cell": 3.73, "energy_ev_per_cell": -10.88}



{"formula": "BaScTe2Br", "functional": "GGA-PBE", "state": "relaxed", "cell": [[5.741, 0.000, 0.000], [0.000, 5.741, 0.000], [0.000, 0.000, 5.254]], "species": ["Ba", "Sc", "Te", "Te", "Br"], "frac_coords": [[0.000, 0.000, 0.000], [0.500, 0.500, 0.500], [0.000, 0.500, 0.500], [0.500, 0.000, 0.500], [0.500, 0.500, 0.000]], "e_form_raw_ev_per_atom": -1.478, "total_magnetization_mub_per_fu": 0.00, "dos_at_fermi_per_ev_cell": 0.26, "energy_ev_per_cell": -23.60}